(1)
## SrAgAu2 (PBE)

Data for crystalline SrAgAu2 at its relaxed geometry.

Computed properties:
E_tot: -3.138 eV per atom
Energy relative to the elements: -0.37 eV/atom
Space-group type: No. 119
N(E_F): 0.295 states/eV per atom

Cell lengths 5.361, 5.361, 5.361 Å; angles 129.08, 129.08, 74.88 degrees
Sites, in units of the cell vectors:
Sr1 0.000 0.000 0.000
Ag1 0.250 0.750 0.500
Au1 0.500 0.500 0.000
Au2 0.750 0.250 0.500


(2)
## Sm3SiN4 (PBE)

Data for crystalline Sm3SiN4 at its relaxed geometry.

Computed properties:
E_tot: -7.809 eV per atom
Space-group type: No. 31
N(E_F): 0.221 states/eV per atom
Uncorrected formation energy: -116 kJ per mole of atoms

Cell lengths 7.454, 6.581, 5.376 Å; angles 90.00, 90.00, 90.00 degrees
Sites, in units of the cell vectors:
Sm1 0.000 0.151 0.000
Sm2 0.250 0.335 0.500
Sm3 0.250 0.665 0.000
Sm4 0.500 0.849 0.500
Sm5 0.750 0.335 0.500
Sm6 0.750 0.665 0.000
Si1 0.000 0.832 0.468
Si2 0.500 0.168 0.968
N1 0.000 0.100 0.549
N2 0.000 0.830 0.139
N3 0.202 0.702 0.557
N4 0.298 0.298 0.057
N5 0.500 0.170 0.639
N6 0.500 0.900 0.049
N7 0.702 0.298 0.057
N8 0.798 0.702 0.557


(3)
## Fe11Pd9Pt4 (PBE)

Data for crystalline Fe11Pd9Pt4 at its relaxed geometry.

Computed properties:
E_tot: -6.910 eV per atom
Energy relative to the elements: -0.08 eV/atom
Space-group type: No. 65
N(E_F): 0.757 states/eV per atom

Cell lengths 11.221, 11.221, 2.717 Å; angles 90.00, 90.00, 93.52 degrees
Sites, in units of the cell vectors:
Fe1 0.000 0.000 0.000
Fe2 0.071 0.416 0.000
Fe3 0.168 0.832 0.000
Fe4 0.240 0.240 0.000
Fe5 0.350 0.650 0.000
Fe6 0.416 0.071 0.000
Fe7 0.584 0.929 0.000
Fe8 0.650 0.350 0.000
Fe9 0.760 0.760 0.000
Fe10 0.832 0.168 0.000
Fe11 0.929 0.584 0.000
Pd1 0.036 0.205 0.500
Pd2 0.134 0.629 0.500
Pd3 0.205 0.036 0.500
Pd4 0.371 0.866 0.500
Pd5 0.500 0.500 0.500
Pd6 0.629 0.134 0.500
Pd7 0.795 0.964 0.500
Pd8 0.866 0.371 0.500
Pd9 0.964 0.795 0.500
Pt1 0.269 0.440 0.500
Pt2 0.440 0.269 0.500
Pt3 0.560 0.731 0.500
Pt4 0.731 0.560 0.500


(4)
## Sm2YHoEr6 (PBE)

Data for crystalline Sm2YHoEr6 at its relaxed geometry.

Computed properties:
E_tot: -4.670 eV per atom
Energy relative to the elements: 0.12 eV/atom
Space-group type: No. 15
N(E_F): 1.344 states/eV per atom

Cell lengths 8.735, 8.735, 9.577 Å; angles 94.34, 94.34, 118.30 degrees
Sites, in units of the cell vectors:
Sm1 0.195 0.302 0.043
Sm2 0.302 0.195 0.543
Sm3 0.698 0.805 0.457
Sm4 0.805 0.698 0.957
Y1 0.020 0.980 0.250
Y2 0.980 0.020 0.750
Ho1 0.408 0.592 0.750
Ho2 0.592 0.408 0.250
Er1 0.022 0.574 0.186
Er2 0.127 0.746 0.557
Er3 0.254 0.873 0.943
Er4 0.290 0.502 0.381
Er5 0.426 0.978 0.314
Er6 0.498 0.710 0.119
Er7 0.502 0.290 0.881
Er8 0.574 0.022 0.686
Er9 0.710 0.498 0.619
Er10 0.746 0.127 0.057
Er11 0.873 0.254 0.443
Er12 0.978 0.426 0.814